1.
The following is a PBE calculation of an optimized crystal structure of ErNbO2, from Alexandria.

* size of the total moment: 0.5 μB per formula unit
* V: 13.6 Å³ per atom
* energy relative to the elements, uncorrected: -2.1314 eV per atom

Cell: 7.167 7.167 7.167 Å, 128.73 128.73 75.44°
Positions (direct):
Er: 0.000 0.000 0.000
Er: 0.000 0.000 0.500
Er: 0.000 0.500 0.000
Er: 0.500 0.000 0.500
Nb: 0.000 0.500 0.500
Nb: 0.500 0.000 0.000
Nb: 0.500 0.500 0.000
Nb: 0.500 0.500 0.500
O: 0.202 0.213 0.511
O: 0.202 0.692 0.989
O: 0.213 0.202 0.011
O: 0.308 0.798 0.511
O: 0.692 0.202 0.489
O: 0.787 0.798 0.989
O: 0.798 0.308 0.011
O: 0.798 0.787 0.489



2.
The following is a PBE calculation of an optimized crystal structure of Hf3ThBi2, from Alexandria.

* size of the total moment: 0.0 μB per formula unit
* DFT formation energy: -113 meV/atom
* V: 26.8 Å³ per atom

Cell: 9.455 9.455 9.315 Å, 114.45 114.45 25.23°
Positions (direct):
Hf: 0.059 0.059 0.434
Hf: 0.310 0.310 0.516
Hf: 0.411 0.411 0.309
Hf: 0.589 0.589 0.691
Hf: 0.690 0.690 0.484
Hf: 0.941 0.941 0.566
Th: 0.128 0.128 0.027
Th: 0.872 0.872 0.973
Bi: 0.223 0.223 0.763
Bi: 0.463 0.463 0.816
Bi: 0.537 0.537 0.184
Bi: 0.777 0.777 0.237



3.
The following is a PBE calculation of an optimized crystal structure of NdDy2Er4Th, from Alexandria.

* size of the total moment: 0.0 μB per formula unit
* DFT formation energy: 30 meV/atom
* V: 31.6 Å³ per atom

Cell: 5.041 5.055 9.930 Å, 90.00 90.05 90.00°
Positions (direct):
Nd: 0.000 0.000 0.000
Dy: 0.000 0.000 0.500
Dy: 0.500 0.500 0.000
Er: 0.000 0.500 0.254
Er: 0.000 0.500 0.746
Er: 0.500 0.000 0.254
Er: 0.500 0.000 0.746
Th: 0.500 0.500 0.500



4.
The following is a PBE calculation of an optimized crystal structure of KTaVN4, from Alexandria.

* size of the total moment: 1.0 μB per formula unit
* V: 16.0 Å³ per atom
* energy relative to the elements, uncorrected: -0.4972 eV per atom

Cell: 5.546 5.777 7.144 Å, 90.00 101.62 90.00°
Positions (direct):
K: 0.167 0.250 0.076
K: 0.833 0.750 0.924
Ta: 0.146 0.750 0.457
Ta: 0.854 0.250 0.543
V: 0.387 0.250 0.643
V: 0.613 0.750 0.357
N: 0.157 0.022 0.651
N: 0.157 0.478 0.651
N: 0.294 0.750 0.224
N: 0.463 0.250 0.416
N: 0.537 0.750 0.584
N: 0.706 0.250 0.776
N: 0.843 0.522 0.349
N: 0.843 0.978 0.349



5.
The following is a PBE calculation of an optimized crystal structure of K2Sm4Se3O2, from Alexandria.

* size of the total moment: 0.0 μB per formula unit
* V: 25.1 Å³ per atom
* energy relative to the elements, uncorrected: -1.8322 eV per atom

Cell: 12.825 12.825 12.825 Å, 158.78 158.78 30.19°
Positions (direct):
K: 0.201 0.201 0.000
K: 0.799 0.799 0.000
Sm: 0.076 0.576 0.500
Sm: 0.424 0.924 0.500
Sm: 0.576 0.076 0.500
Sm: 0.924 0.424 0.500
Se: 0.341 0.341 0.000
Se: 0.500 0.500 0.000
Se: 0.659 0.659 0.000
O: 0.094 0.094 0.000
O: 0.906 0.906 0.000



6.
The following is a PBE calculation of an optimized crystal structure of Mg3Ga2Ru, from Alexandria.

* size of the total moment: 0.0 μB per formula unit
* DFT formation energy: -201 meV/atom
* V: 18.1 Å³ per atom

Cell: 3.288 4.410 7.982 Å, 74.24 78.18 89.97°
Positions (direct):
Mg: 0.000 0.000 0.000
Mg: 0.316 0.817 0.369
Mg: 0.684 0.183 0.631
Ga: 0.129 0.628 0.741
Ga: 0.871 0.372 0.259
Ru: 0.500 0.500 0.000



7.
The following is a PBE calculation of an optimized crystal structure of Nd2Ho2ErSc2, from Alexandria.

* size of the total moment: 0.0 μB per formula unit
* DFT formation energy: 170 meV/atom
* V: 31.0 Å³ per atom

Cell: 11.163 3.429 11.587 Å, 90.00 101.65 90.00°
Positions (direct):
Nd: 0.094 0.000 0.269
Nd: 0.406 0.500 0.731
Nd: 0.594 0.500 0.269
Nd: 0.906 0.000 0.731
Ho: 0.152 0.000 0.574
Ho: 0.348 0.500 0.426
Ho: 0.652 0.500 0.574
Ho: 0.848 0.000 0.426
Er: 0.000 0.500 0.000
Er: 0.500 0.000 0.000
Sc: 0.206 0.000 0.878
Sc: 0.294 0.500 0.122
Sc: 0.706 0.500 0.878
Sc: 0.794 0.000 0.122



8.
The following is a PBE calculation of an optimized crystal structure of SrInCo, from Alexandria.

* size of the total moment: 1.1 μB per formula unit
* DFT formation energy: 131 meV/atom
* V: 23.9 Å³ per atom

Cell: 3.540 3.540 11.419 Å, 90.00 90.00 90.00°
Positions (direct):
Sr: 0.000 0.000 0.000
Sr: 0.500 0.500 0.500
In: 0.000 0.000 0.718
In: 0.500 0.500 0.218
Co: 0.000 0.000 0.306
Co: 0.500 0.500 0.806



9.
The following is a PBE calculation of an optimized crystal structure of Li2HgI, from Alexandria.

* size of the total moment: 0.0 μB per formula unit
* V: 29.7 Å³ per atom
* energy relative to the elements, uncorrected: -0.4768 eV per atom

Cell: 5.332 5.332 16.684 Å, 90.00 90.00 90.00°
Positions (direct):
Li: 0.242 0.250 0.125
Li: 0.250 0.742 0.375
Li: 0.250 0.758 0.875
Li: 0.258 0.250 0.625
Li: 0.742 0.750 0.625
Li: 0.750 0.242 0.875
Li: 0.750 0.258 0.375
Li: 0.758 0.750 0.125
Hg: 0.000 0.000 0.000
Hg: 0.000 0.500 0.250
Hg: 0.500 0.000 0.750
Hg: 0.500 0.500 0.500
I: 0.000 0.000 0.500
I: 0.000 0.500 0.750
I: 0.500 0.000 0.250
I: 0.500 0.500 0.000



10.
The following is a PBE calculation of an optimized crystal structure of Nd4ErTh, from Alexandria.

* size of the total moment: 0.0 μB per formula unit
* DFT formation energy: 203 meV/atom
* V: 34.6 Å³ per atom

Cell: 11.702 3.468 11.709 Å, 90.00 119.02 90.00°
Positions (direct):
Nd: 0.151 0.000 0.342
Nd: 0.160 0.500 0.843
Nd: 0.340 0.000 0.157
Nd: 0.349 0.500 0.658
Nd: 0.651 0.500 0.342
Nd: 0.660 0.000 0.843
Nd: 0.840 0.500 0.157
Nd: 0.849 0.000 0.658
Er: 0.000 0.000 0.000
Er: 0.500 0.500 0.000
Th: 0.000 0.500 0.500
Th: 0.500 0.000 0.500



11.
The following is a PBE calculation of an optimized crystal structure of Sr2Cu4SbAs3, from Alexandria.

* size of the total moment: 0.0 μB per formula unit
* V: 20.0 Å³ per atom
* energy relative to the elements, uncorrected: -0.4982 eV per atom

Cell: 4.374 4.374 10.470 Å, 90.00 90.00 90.00°
Positions (direct):
Sr: 0.000 0.500 0.233
Sr: 0.500 0.000 0.767
Cu: 0.000 0.000 0.000
Cu: 0.000 0.500 0.641
Cu: 0.500 0.000 0.359
Cu: 0.500 0.500 0.000
Sb: 0.000 0.000 0.500
As: 0.000 0.500 0.873
As: 0.500 0.000 0.127
As: 0.500 0.500 0.500



12.
The following is a PBE calculation of an optimized crystal structure of MnAl3Fe2Ge3, from Alexandria.

* size of the total moment: 0.3 μB per formula unit
* DFT formation energy: -3 meV/atom
* V: 13.7 Å³ per atom

Cell: 6.773 6.773 3.095 Å, 90.00 90.00 120.00°
Positions (direct):
Mn: 0.000 0.000 0.000
Al: 0.000 0.723 0.500
Al: 0.277 0.277 0.500
Al: 0.723 0.000 0.500
Fe: 0.333 0.667 0.500
Fe: 0.667 0.333 0.500
Ge: 0.000 0.371 0.000
Ge: 0.371 0.000 0.000
Ge: 0.629 0.629 0.000